A plane-wave DFT calculation with meta-GGA SCAN was carried out for a PBEsol-optimized structure of AgP2Os.

The structure in CIF format:
```
data_AgP2Os
_chemical_formula_sum 'Ag2 P4 Os2'
_cell_length_a 2.843
_cell_length_b 3.615
_cell_length_c 12.192
_cell_angle_alpha 90.00
_cell_angle_beta 90.00
_cell_angle_gamma 90.00
_space_group_name_H-M_alt 'I m m 2'
_space_group_IT_number 44
_space_group_name_Hall 'I 2 -2'
loop_
_atom_site_label
_atom_site_fract_x
_atom_site_fract_y
_atom_site_fract_z
Ag1 0.000 0.000 0.000
P1 0.000 0.000 0.621
P2 0.000 0.500 0.840
Os1 0.000 0.500 0.275
```

Results
- energy above the most stable polymorph in this dataset (meV per atom) = 0
- E_form (eV/atom) = 0.21